LaTbSm2Hg4 GGA-PBE optimized geometry; symmetry = R-3m (166); ΔE_f = -45.8 kJ per mole of atoms; crystal system = trigonal; magnetization = 1.427 μB per cell; DOS at the Fermi energy = 1.17 states/eV per atom
1.0
2.6884 1.5521 8.8462
-2.6884 1.5521 8.8462
0.0000 -3.1043 8.8462
La Tb Sm Hg
1 1 2 4
direct
0.0000 0.0000 0.0000
0.5000 0.5000 0.5000
0.2494 0.2494 0.2494
0.7506 0.7506 0.7506
0.1276 0.1276 0.1276
0.3787 0.3787 0.3787
0.6213 0.6213 0.6213
0.8724 0.8724 0.8724